VASP calculation (GGA-PBE) on a relaxed structure of KPrDy4Se8.

Summary:
Spin magnetization ... 0.00 μB per formula unit
Space-group type ... R3m
Final energy ... -5.471 eV per atom
E_form (uncorrected) ... -1.745 eV per atom

Lattice parameters (Å, degrees): 8.5724 8.5724 8.7141 60.54 60.54 60.00
Element x y z (fractional)
Se  0.7525  0.2309  0.2640
Se  0.2416  0.2416  0.7235
Se  0.2332  0.2332  0.3005
Se  0.7525  0.7525  0.2640
Se  0.2309  0.7525  0.2640
Se  0.7933  0.2416  0.7235
Se  0.2416  0.7933  0.7235
Se  0.7575  0.7575  0.7275
Dy  0.0045  0.0045  0.5046
Dy  0.6260  0.6260  0.1219
Dy  0.4864  0.0045  0.5046
Dy  0.0045  0.4864  0.5046
K  0.3706  0.3706  0.8881
Pr  0.0048  0.0048  0.9857

***

VASP calculation (GGA-PBE) on a relaxed structure of K3PrDy2Se6.

Summary:
Spin magnetization ... 0.00 μB per formula unit
Space-group type ... C2/m
Final energy ... -4.939 eV per atom
E_form (uncorrected) ... -1.757 eV per atom

Lattice parameters (Å, degrees): 7.3957 7.3957 8.0822 98.78 98.78 120.00
Element x y z (fractional)
K  0.8348  0.1652  0.5000
K  0.1652  0.8348  0.5000
K  0.5000  0.5000  0.5000
Se  0.2739  0.2739  0.7928
Se  0.9308  0.5879  0.7927
Se  0.4121  0.0692  0.2073
Se  0.0692  0.4121  0.2073
Se  0.7261  0.7261  0.2072
Se  0.5879  0.9308  0.7927
Pr  0.0000  0.0000  0.0000
Dy  0.3331  0.6669  0.0000
Dy  0.6669  0.3331  0.0000

***

VASP calculation (GGA-PBE) on a relaxed structure of KPr3Dy2Te6.

Summary:
Spin magnetization ... 0.00 μB per formula unit
Space-group type ... C2/m
Final energy ... -4.982 eV per atom
E_form (uncorrected) ... -1.358 eV per atom

Lattice parameters (Å, degrees): 4.4673 9.1430 10.1145 103.29 102.76 90.00
Element x y z (fractional)
Te  0.3301  0.4254  0.6603
Te  0.6699  0.5746  0.3397
Te  0.9923  0.7407  0.9845
Te  0.3262  0.9055  0.6524
Te  0.0077  0.2593  0.0155
Te  0.6738  0.0945  0.3476
Pr  0.5000  0.5000  0.0000
Pr  0.8424  0.1823  0.6848
Pr  0.1576  0.8177  0.3152
Dy  0.8336  0.6603  0.6672
Dy  0.1664  0.3397  0.3328
K  0.5000  0.0000  0.0000

***

VASP calculation (GGA-PBE) on a relaxed structure of KPr2DyTe4.

Summary:
Spin magnetization ... 0.00 μB per formula unit
Space-group type ... P2/m
Final energy ... -4.832 eV per atom
E_form (uncorrected) ... -1.354 eV per atom

Lattice parameters (Å, degrees): 4.4915 7.9185 7.9396 71.51 90.00 90.00
Element x y z (fractional)
Pr  0.5000  0.0000  0.5000
Pr  0.0000  0.0000  0.0000
Te  0.5000  0.7427  0.2624
Te  0.0000  0.7536  0.7360
Te  0.0000  0.2464  0.2640
Te  0.5000  0.2573  0.7376
Dy  0.0000  0.5000  0.5000
K  0.5000  0.5000  0.0000

***

| no. | calculated volume (A^3/atom) |
| --- | --- |
| 1 | 32.603 |
| 2 | 30.379 |
| 3 | 32.632 |
| 4 | 33.477 |